# 1
Compound: SbPt4Au
Source: Alexandria via LeMat-Bulk
Functional: PBE-GGA
Structure: optimized geometry

Values from the calculation:
Its symmetry is F-43m, No. 216. The value obtained for the formation energy from raw total energies is 4.6 kJ/mol of atoms. The density of states at the Fermi level is 7.770 states/eV/cell. The value obtained for the size of the total moment is 0.00 μB per formula unit.

Structure (CIF):
```
data_SbPt4Au
_space_group_name_H-M_alt 'P 1'
_space_group_IT_number 1
_cell_length_a 5.366
_cell_length_b 5.366
_cell_length_c 5.366
_cell_angle_alpha 60.00
_cell_angle_beta 60.00
_cell_angle_gamma 60.00
loop_
_space_group_symop_operation_xyz
'x,y,z'
loop_
_atom_site_label
_atom_site_type_symbol
_atom_site_fract_x
_atom_site_fract_y
_atom_site_fract_z
Sb1 Sb 0.000 0.000 0.000
Pt1 Pt 0.375 0.375 0.375
Pt2 Pt 0.375 0.375 0.874
Pt3 Pt 0.375 0.874 0.375
Pt4 Pt 0.874 0.375 0.375
Au1 Au 0.750 0.750 0.750
```


# 2
Compound: SbPtAu2
Source: Alexandria via LeMat-Bulk
Functional: PBE-GGA
Structure: optimized geometry

Values from the calculation:
Its symmetry is I-42d, No. 122. The value obtained for the formation energy from raw total energies is 5.4 kJ/mol of atoms. The density of states at the Fermi level is 5.225 states/eV/cell. The value obtained for the size of the total moment is 0.00 μB per formula unit.

Structure (CIF):
```
data_SbPtAu2
_space_group_name_H-M_alt 'P 1'
_space_group_IT_number 1
_cell_length_a 6.111
_cell_length_b 6.111
_cell_length_c 6.111
_cell_angle_alpha 101.37
_cell_angle_beta 101.37
_cell_angle_gamma 127.28
loop_
_space_group_symop_operation_xyz
'x,y,z'
loop_
_atom_site_label
_atom_site_type_symbol
_atom_site_fract_x
_atom_site_fract_y
_atom_site_fract_z
Sb1 Sb 0.000 0.000 0.000
Sb2 Sb 0.750 0.250 0.500
Pt1 Pt 0.250 0.750 0.500
Pt2 Pt 0.500 0.500 0.000
Au1 Au 0.131 0.625 0.006
Au2 Au 0.375 0.381 0.506
Au3 Au 0.619 0.125 0.994
Au4 Au 0.875 0.869 0.494
```


# 3
Compound: SbPtAu2
Source: Alexandria via LeMat-Bulk
Functional: PBE-GGA
Structure: optimized geometry

Values from the calculation:
Its symmetry is Cm, No. 8. The value obtained for the formation energy from raw total energies is -1.7 kJ/mol of atoms. The density of states at the Fermi level is 1.629 states/eV/cell. The value obtained for the size of the total moment is 0.00 μB per formula unit.

Structure (CIF):
```
data_SbPtAu2
_space_group_name_H-M_alt 'P 1'
_space_group_IT_number 1
_cell_length_a 4.937
_cell_length_b 4.937
_cell_length_c 4.723
_cell_angle_alpha 107.73
_cell_angle_beta 107.73
_cell_angle_gamma 45.32
loop_
_space_group_symop_operation_xyz
'x,y,z'
loop_
_atom_site_label
_atom_site_type_symbol
_atom_site_fract_x
_atom_site_fract_y
_atom_site_fract_z
Sb1 Sb 0.000 0.000 0.000
Pt1 Pt 0.728 0.728 0.185
Au1 Au 0.228 0.228 0.688
Au2 Au 0.474 0.474 0.462
```


# 4
Compound: SbPtAu
Source: Alexandria via LeMat-Bulk
Functional: PBE-GGA
Structure: optimized geometry

Values from the calculation:
Its symmetry is F-43m, No. 216. The value obtained for the formation energy from raw total energies is -16.4 kJ/mol of atoms. The density of states at the Fermi level is 1.727 states/eV/cell. The value obtained for the size of the total moment is 0.00 μB per formula unit.

Structure (CIF):
```
data_SbPtAu
_space_group_name_H-M_alt 'P 1'
_space_group_IT_number 1
_cell_length_a 4.525
_cell_length_b 4.525
_cell_length_c 4.525
_cell_angle_alpha 60.00
_cell_angle_beta 60.00
_cell_angle_gamma 60.00
loop_
_space_group_symop_operation_xyz
'x,y,z'
loop_
_atom_site_label
_atom_site_type_symbol
_atom_site_fract_x
_atom_site_fract_y
_atom_site_fract_z
Sb1 Sb 0.000 0.000 0.000
Pt1 Pt 0.250 0.250 0.250
Au1 Au 0.500 0.500 0.500
```


# 5
Compound: SbPtAu2
Source: Alexandria via LeMat-Bulk
Functional: PBE-GGA
Structure: optimized geometry

Values from the calculation:
Its symmetry is P4/mmm, No. 123. The value obtained for the formation energy from raw total energies is 12.9 kJ/mol of atoms. The density of states at the Fermi level is 1.933 states/eV/cell. The value obtained for the size of the total moment is 0.00 μB per formula unit.

Structure (CIF):
```
data_SbPtAu2
_space_group_name_H-M_alt 'P 1'
_space_group_IT_number 1
_cell_length_a 3.074
_cell_length_b 3.074
_cell_length_c 8.264
_cell_angle_alpha 90.00
_cell_angle_beta 90.00
_cell_angle_gamma 90.00
loop_
_space_group_symop_operation_xyz
'x,y,z'
loop_
_atom_site_label
_atom_site_type_symbol
_atom_site_fract_x
_atom_site_fract_y
_atom_site_fract_z
Sb1 Sb 0.000 0.000 0.000
Pt1 Pt 0.000 0.000 0.500
Au1 Au 0.500 0.500 0.276
Au2 Au 0.500 0.500 0.724
```


# 6
Compound: SbPt2Au
Source: Alexandria via LeMat-Bulk
Functional: PBE-GGA
Structure: optimized geometry

Values from the calculation:
Its symmetry is Pm, No. 6. The value obtained for the formation energy from raw total energies is -8.6 kJ/mol of atoms. The density of states at the Fermi level is 1.268 states/eV/cell. The value obtained for the size of the total moment is 0.00 μB per formula unit.

Structure (CIF):
```
data_SbPt2Au
_space_group_name_H-M_alt 'P 1'
_space_group_IT_number 1
_cell_length_a 4.376
_cell_length_b 4.042
_cell_length_c 4.683
_cell_angle_alpha 90.00
_cell_angle_beta 107.42
_cell_angle_gamma 90.00
loop_
_space_group_symop_operation_xyz
'x,y,z'
loop_
_atom_site_label
_atom_site_type_symbol
_atom_site_fract_x
_atom_site_fract_y
_atom_site_fract_z
Sb1 Sb 0.000 0.000 0.000
Pt1 Pt 0.530 0.000 0.463
Pt2 Pt 0.705 0.500 0.167
Au1 Au 0.215 0.500 0.663
```


# 7
Compound: SbPt2Au
Source: Alexandria via LeMat-Bulk
Functional: PBE-GGA
Structure: optimized geometry

Values from the calculation:
Its symmetry is I-42d, No. 122. The value obtained for the formation energy from raw total energies is -6.1 kJ/mol of atoms. The density of states at the Fermi level is 3.610 states/eV/cell. The value obtained for the size of the total moment is 0.00 μB per formula unit.

Structure (CIF):
```
data_SbPt2Au
_space_group_name_H-M_alt 'P 1'
_space_group_IT_number 1
_cell_length_a 5.943
_cell_length_b 5.943
_cell_length_c 5.943
_cell_angle_alpha 102.75
_cell_angle_beta 102.75
_cell_angle_gamma 123.97
loop_
_space_group_symop_operation_xyz
'x,y,z'
loop_
_atom_site_label
_atom_site_type_symbol
_atom_site_fract_x
_atom_site_fract_y
_atom_site_fract_z
Sb1 Sb 0.000 0.000 0.000
Sb2 Sb 0.750 0.250 0.500
Pt1 Pt 0.110 0.625 0.985
Pt2 Pt 0.375 0.360 0.485
Pt3 Pt 0.640 0.125 0.015
Pt4 Pt 0.875 0.890 0.515
Au1 Au 0.250 0.750 0.500
Au2 Au 0.500 0.500 0.000
```


# 8
Compound: Sb3Pt12Au
Source: Alexandria via LeMat-Bulk
Functional: PBE-GGA
Structure: optimized geometry

Values from the calculation:
Its symmetry is P4/mmm, No. 123. The value obtained for the formation energy from raw total energies is -14.5 kJ/mol of atoms. The density of states at the Fermi level is 6.149 states/eV/cell. The value obtained for the size of the total moment is 0.00 μB per formula unit.

Structure (CIF):
```
data_Sb3Pt12Au
_space_group_name_H-M_alt 'P 1'
_space_group_IT_number 1
_cell_length_a 4.065
_cell_length_b 4.065
_cell_length_c 16.360
_cell_angle_alpha 90.00
_cell_angle_beta 90.00
_cell_angle_gamma 90.00
loop_
_space_group_symop_operation_xyz
'x,y,z'
loop_
_atom_site_label
_atom_site_type_symbol
_atom_site_fract_x
_atom_site_fract_y
_atom_site_fract_z
Sb1 Sb 0.000 0.000 0.000
Sb2 Sb 0.000 0.000 0.264
Sb3 Sb 0.000 0.000 0.736
Pt1 Pt 0.000 0.500 0.123
Pt2 Pt 0.000 0.500 0.376
Pt3 Pt 0.000 0.500 0.624
Pt4 Pt 0.000 0.500 0.877
Pt5 Pt 0.500 0.000 0.123
Pt6 Pt 0.500 0.000 0.376
Pt7 Pt 0.500 0.000 0.624
Pt8 Pt 0.500 0.000 0.877
Pt9 Pt 0.500 0.500 0.000
Pt10 Pt 0.500 0.500 0.243
Pt11 Pt 0.500 0.500 0.500
Pt12 Pt 0.500 0.500 0.757
Au1 Au 0.000 0.000 0.500
```